# 1
Computed, not measured: an optimized crystal structure of ErSc2IrO8 at the PBE-GGA level of DFT.

CIF file:
```
data_ErSc2IrO8
_chemical_formula_sum 'Er1 Sc2 Ir1 O8'
_symmetry_space_group_name_H-M 'P 1 2/m 1'
_symmetry_Int_Tables_number 10
_cell_length_a 4.8531
_cell_length_b 6.4893
_cell_length_c 4.8618
_cell_angle_alpha 90.00
_cell_angle_beta 90.14
_cell_angle_gamma 90.00
loop_
_symmetry_equiv_pos_as_xyz
'x,y,z'
'-x,-y,-z'
'-x,y,-z'
'x,-y,z'
loop_
_atom_site_label
_atom_site_type_symbol
_atom_site_fract_x
_atom_site_fract_y
_atom_site_fract_z
_atom_site_occupancy
Er1 Er 0.0000 0.0000 0.0000 1
Sc1 Sc 0.5000 0.2417 0.5000 1
Ir1 Ir 0.0000 0.5000 0.0000 1
O1 O 0.1951 0.2844 0.8071 1
O2 O 0.2779 0.5000 0.2797 1
O3 O 0.3134 0.0000 0.3156 1
```

Properties
The calculation puts the volume at 12.76 Å³ per atom. The value obtained for the magnetization is 1.083 μB/cell. The calculation puts the final energy at -7.8347 eV per atom. The formation energy (no corrections) comes out at -28.3 eV/f.u.



# 2
Computed, not measured: an optimized crystal structure of La6MgCu2 at the PBE-GGA level of DFT.

CIF file:
```
data_La6MgCu2
_chemical_formula_sum 'La24 Mg4 Cu8'
_symmetry_space_group_name_H-M 'I m m m'
_symmetry_Int_Tables_number 71
_symmetry_space_group_name_Hall '-I 2 2'
_cell_length_a 9.9430
_cell_length_b 10.3589
_cell_length_c 10.7476
_cell_angle_alpha 90.00
_cell_angle_beta 90.00
_cell_angle_gamma 90.00
loop_
_atom_site_label
_atom_site_type_symbol
_atom_site_fract_x
_atom_site_fract_y
_atom_site_fract_z
_atom_site_occupancy
La1 La 0.0000 0.1970 0.2428 1
La2 La 0.1972 0.5000 0.1796 1
La3 La 0.2190 0.3184 0.5000 1
Mg1 Mg 0.0000 0.0000 0.0000 1
Mg2 Mg 0.0000 0.0000 0.5000 1
Cu1 Cu 0.0000 0.3460 0.0000 1
Cu2 Cu 0.0000 0.5000 0.3830 1
```

Properties
The calculation puts the volume at 30.75 Å³ per atom. The value obtained for the magnetization is 0.000 μB/cell. The calculation puts the final energy at -4.4387 eV per atom. The formation energy comes out at -0.60 eV per formula unit.



# 3
Computed, not measured: an optimized crystal structure of CoBr at the PBE-GGA level of DFT.

CIF file:
```
data_CoBr
_chemical_formula_sum 'Co2 Br2'
_symmetry_space_group_name_H-M 'P 4/n m m'
_symmetry_Int_Tables_number 129
_cell_length_a 3.7367
_cell_length_b 3.7367
_cell_length_c 6.6327
_cell_angle_alpha 90.00
_cell_angle_beta 90.00
_cell_angle_gamma 90.00
loop_
_symmetry_equiv_pos_as_xyz
'x,y,z'
'-x,-y,-z'
'-y+1/2,x,z'
'y+1/2,-x,-z'
'-x+1/2,-y+1/2,z'
'x+1/2,y+1/2,-z'
'y,-x+1/2,z'
'-y,x+1/2,-z'
'x+1/2,-y,-z'
'-x+1/2,y,z'
'-y,-x,-z'
'y,x,z'
'-x,y+1/2,-z'
'x,-y+1/2,z'
'y+1/2,x+1/2,-z'
'-y+1/2,-x+1/2,z'
loop_
_atom_site_label
_atom_site_type_symbol
_atom_site_fract_x
_atom_site_fract_y
_atom_site_fract_z
_atom_site_occupancy
Co1 Co 0.2500 0.7500 0.0000 1
Br1 Br 0.2500 0.2500 0.2403 1
```

Properties
The calculation puts the volume at 23.15 Å³ per atom. The value obtained for the magnetization is 4.000 μB/cell. The calculation puts the final energy at -4.2836 eV per atom. The formation energy (no corrections) comes out at 0.2 eV/f.u.



# 4
Computed, not measured: an optimized crystal structure of La4SmBi2 at the PBE-GGA level of DFT.

CIF file:
```
data_La4SmBi2
_chemical_formula_sum 'La8 Sm2 Bi4'
_symmetry_space_group_name_H-M 'I 4/m m m'
_symmetry_Int_Tables_number 139
_symmetry_space_group_name_Hall '-I 4 2'
_cell_length_a 5.5382
_cell_length_b 5.5382
_cell_length_c 17.4036
_cell_angle_alpha 90.00
_cell_angle_beta 90.00
_cell_angle_gamma 90.00
loop_
_atom_site_label
_atom_site_type_symbol
_atom_site_fract_x
_atom_site_fract_y
_atom_site_fract_z
_atom_site_occupancy
La1 La 0.0000 0.0000 0.1781 1
La2 La 0.0000 0.5000 0.0000 1
Sm1 Sm 0.0000 0.0000 0.0000 1
Bi1 Bi 0.0000 0.0000 0.3646 1
```

Properties
The calculation puts the volume at 38.13 Å³ per atom. The value obtained for the magnetization is 2.712 μB/cell. The calculation puts the final energy at -4.6060 eV per atom. The formation energy comes out at -0.05 eV per formula unit.



# 5
Computed, not measured: an optimized crystal structure of Ca3Hg3Au2 at the PBE-GGA level of DFT.

CIF file:
```
data_Ca3Hg3Au2
_chemical_formula_sum 'Ca12 Hg12 Au8'
_symmetry_space_group_name_H-M 'C m c m'
_symmetry_Int_Tables_number 63
_symmetry_space_group_name_Hall '-C 2c 2'
_cell_length_a 4.2042
_cell_length_b 11.1664
_cell_length_c 17.5576
_cell_angle_alpha 90.00
_cell_angle_beta 90.00
_cell_angle_gamma 90.00
loop_
_atom_site_label
_atom_site_type_symbol
_atom_site_fract_x
_atom_site_fract_y
_atom_site_fract_z
_atom_site_occupancy
Ca1 Ca 0.0000 0.0580 0.1089 1
Ca2 Ca 0.0000 0.3260 0.2500 1
Hg1 Hg 0.0000 0.3673 0.0302 1
Hg2 Hg 0.0000 0.3996 0.7500 1
Au1 Au 0.0000 0.2315 0.6230 1
```

Properties
The calculation puts the volume at 25.76 Å³ per atom. The value obtained for the magnetization is 0.000 μB/cell. The calculation puts the final energy at -2.2678 eV per atom. The formation energy comes out at -4.68 eV per formula unit.



# 6
Computed, not measured: an optimized crystal structure of AlVN at the PBE-GGA level of DFT.

CIF file:
```
data_AlVN
_chemical_formula_sum 'Al4 V4 N4'
_symmetry_space_group_name_H-M 'C 1 2/m 1'
_symmetry_Int_Tables_number 12
_cell_length_a 10.0658
_cell_length_b 3.0942
_cell_length_c 5.2867
_cell_angle_alpha 90.00
_cell_angle_beta 118.40
_cell_angle_gamma 90.00
loop_
_symmetry_equiv_pos_as_xyz
'x,y,z'
'-x,-y,-z'
'-x,y,-z'
'x,-y,z'
'x+1/2,y+1/2,z'
'-x+1/2,-y+1/2,-z'
'-x+1/2,y+1/2,-z'
'x+1/2,-y+1/2,z'
loop_
_atom_site_label
_atom_site_type_symbol
_atom_site_fract_x
_atom_site_fract_y
_atom_site_fract_z
_atom_site_occupancy
Al1 Al 0.0987 0.0000 0.3751 1
V1 V 0.1465 0.5000 0.0022 1
N1 N 0.1254 0.0000 0.7590 1
```

Properties
The calculation puts the volume at 12.07 Å³ per atom. The value obtained for the magnetization is 0.002 μB/cell. The calculation puts the final energy at -7.7137 eV per atom. The formation energy (no corrections) comes out at -2.0 eV/f.u.



# 7
Computed, not measured: an optimized crystal structure of LiMg2InCl6 at the PBE-GGA level of DFT.

CIF file:
```
data_LiMg2InCl6
_chemical_formula_sum 'Li4 Mg8 In4 Cl24'
_symmetry_space_group_name_H-M 'C 1 2/c 1'
_symmetry_Int_Tables_number 15
_cell_length_a 13.3905
_cell_length_b 13.3680
_cell_length_c 7.5395
_cell_angle_alpha 90.00
_cell_angle_beta 111.41
_cell_angle_gamma 90.00
loop_
_symmetry_equiv_pos_as_xyz
'x,y,z'
'-x,-y,-z'
'-x,y,-z+1/2'
'x,-y,z+1/2'
'x+1/2,y+1/2,z'
'-x+1/2,-y+1/2,-z'
'-x+1/2,y+1/2,-z+1/2'
'x+1/2,-y+1/2,z+1/2'
loop_
_atom_site_label
_atom_site_type_symbol
_atom_site_fract_x
_atom_site_fract_y
_atom_site_fract_z
_atom_site_occupancy
Li1 Li 0.0000 0.2039 0.2500 1
Mg1 Mg 0.1884 0.4220 0.6851 1
In1 In 0.0000 0.1210 0.7500 1
Cl1 Cl 0.1099 0.2705 0.5497 1
Cl2 Cl 0.1220 0.0827 0.1914 1
Cl3 Cl 0.1376 0.4465 0.9564 1
```

Properties
The calculation puts the volume at 31.41 Å³ per atom. The value obtained for the magnetization is 0.000 μB/cell. The calculation puts the final energy at -3.4840 eV per atom. The formation energy (no corrections) comes out at -15.9 eV/f.u.



# 8
Computed, not measured: an optimized crystal structure of In3AgS4 at the PBE-GGA level of DFT.

CIF file:
```
data_In3AgS4
_chemical_formula_sum 'In6 Ag2 S8'
_symmetry_space_group_name_H-M 'I -4 2 m'
_symmetry_Int_Tables_number 121
_symmetry_space_group_name_Hall 'I -4 2'
_cell_length_a 5.7657
_cell_length_b 5.7657
_cell_length_c 13.4830
_cell_angle_alpha 90.00
_cell_angle_beta 90.00
_cell_angle_gamma 90.00
loop_
_atom_site_label
_atom_site_type_symbol
_atom_site_fract_x
_atom_site_fract_y
_atom_site_fract_z
_atom_site_occupancy
In1 In 0.0000 0.0000 0.0000 1
In2 In 0.0000 0.5000 0.2500 1
Ag1 Ag 0.0000 0.0000 0.5000 1
S1 S 0.2261 0.2261 0.3593 1
```

Properties
The calculation puts the volume at 28.01 Å³ per atom. The value obtained for the magnetization is 0.000 μB/cell. The calculation puts the final energy at -3.8102 eV per atom. The formation energy (no corrections) comes out at -2.9 eV/f.u.



# 9
Computed, not measured: an optimized crystal structure of Np3Tl3GeSe8 at the PBE-GGA level of DFT.

CIF file:
```
data_Np3Tl3GeSe8
_chemical_formula_sum 'Np6 Tl6 Ge2 Se16'
_symmetry_space_group_name_H-M 'C 1 2/m 1'
_symmetry_Int_Tables_number 12
_cell_length_a 14.5341
_cell_length_b 8.3860
_cell_length_c 9.1060
_cell_angle_alpha 90.00
_cell_angle_beta 122.04
_cell_angle_gamma 90.00
loop_
_symmetry_equiv_pos_as_xyz
'x,y,z'
'-x,-y,-z'
'-x,y,-z'
'x,-y,z'
'x+1/2,y+1/2,z'
'-x+1/2,-y+1/2,-z'
'-x+1/2,y+1/2,-z'
'x+1/2,-y+1/2,z'
loop_
_atom_site_label
_atom_site_type_symbol
_atom_site_fract_x
_atom_site_fract_y
_atom_site_fract_z
_atom_site_occupancy
Np1 Np 0.0000 0.0000 0.0000 1
Np2 Np 0.2500 0.2500 0.0000 1
Tl1 Tl 0.0000 0.5000 0.5000 1
Tl2 Tl 0.2500 0.2500 0.5000 1
Ge1 Ge 0.0000 0.5000 0.0000 1
Se1 Se 0.0178 0.2494 0.8046 1
Se2 Se 0.2319 0.5000 0.1939 1
Se3 Se 0.2358 0.0000 0.2062 1
```

Properties
The calculation puts the volume at 31.36 Å³ per atom. The value obtained for the magnetization is 6.846 μB/cell. The calculation puts the final energy at -6.0073 eV per atom. The formation energy (no corrections) comes out at -11.7 eV/f.u.



# 10
Computed, not measured: an optimized crystal structure of SrCa2 at the PBE-GGA level of DFT.

CIF file:
```
data_SrCa2
_chemical_formula_sum 'Sr2 Ca4'
_symmetry_space_group_name_H-M 'P 63/m m c'
_symmetry_Int_Tables_number 194
_symmetry_space_group_name_Hall '-P 6c 2c'
_cell_length_a 6.4685
_cell_length_b 6.4685
_cell_length_c 7.6597
_cell_angle_alpha 90.00
_cell_angle_beta 90.00
_cell_angle_gamma 120.00
loop_
_atom_site_label
_atom_site_type_symbol
_atom_site_fract_x
_atom_site_fract_y
_atom_site_fract_z
_atom_site_occupancy
Sr1 Sr 0.3333 0.6667 0.2500 1
Ca1 Ca 0.0000 0.0000 0.0000 1
Ca2 Ca 0.3333 0.6667 0.7500 1
```

Properties
The calculation puts the volume at 46.26 Å³ per atom. The value obtained for the magnetization is 1.263 μB/cell. The calculation puts the final energy at -1.8222 eV per atom. The formation energy comes out at 0.22 eV per formula unit.